Entry 1:
Here is Tl6SeI2Br2 after structural relaxation from Alexandria. Energies are from PBE.

Fermi-level density of states, states/eV/f.u.: 0.0
Uncorrected energy, eV per atom: -2.82
E_form (uncorrected), eV per atom: -0.63

POSCAR file:
```
Tl6SeI2Br2
1.0
-7.422 2.825 -2.490
3.501 -6.605 -3.660
-2.217 -3.497 7.487
Tl I Se Br
6 2 1 2
Direct
0.923 0.610 0.272
0.763 0.763 0.707
0.610 0.923 0.272
0.390 0.077 0.728
0.237 0.237 0.293
0.077 0.390 0.728
0.841 0.159 0.000
0.159 0.841 0.000
0.000 0.000 0.500
0.314 0.686 0.500
0.686 0.314 0.500
```

---

Entry 2:
Here is USeIBr after structural relaxation from Alexandria. Energies are from PBE.

Fermi-level density of states, states/eV/f.u.: 9.1
Uncorrected energy, eV per atom: -5.43
E_form (uncorrected), eV per atom: -0.93

POSCAR file:
```
USeIBr
1.0
4.753 0.000 0.000
2.376 4.117 0.002
2.376 1.347 7.937
U Br Se I
1 1 1 1
Direct
0.108 0.393 0.390
0.994 0.282 0.730
0.753 0.038 0.456
0.522 0.805 0.151
```

---

Entry 3:
Here is YSe2IBr after structural relaxation from Alexandria. Energies are from PBE.

Fermi-level density of states, states/eV/f.u.: 6.6
Uncorrected energy, eV per atom: -3.88
E_form (uncorrected), eV per atom: -0.55
ΔE to the lowest computed polymorph, meV/atom: 0

POSCAR file:
```
YSe2IBr
1.0
5.603 0.000 0.000
0.000 5.603 0.000
0.000 0.000 5.425
I Se Y Br
1 2 1 1
Direct
0.500 0.500 0.500
0.500 0.000 0.000
0.000 0.500 0.000
0.000 0.000 0.000
0.000 0.000 0.500
```

---

Entry 4:
Here is Y2SeIBr after structural relaxation from Alexandria. Energies are from PBE.

Fermi-level density of states, states/eV/f.u.: 4.6
Uncorrected energy, eV per atom: -3.93
E_form (uncorrected), eV per atom: 0.00

POSCAR file:
```
Y2SeIBr
1.0
5.456 0.000 0.000
0.000 5.871 0.000
0.000 0.000 5.456
Y Se Br I
2 1 1 1
Direct
0.000 0.000 0.500
0.500 0.000 0.000
0.500 0.500 0.500
0.000 0.000 0.000
0.000 0.500 0.000
```

---

The lowest E_form (uncorrected) belongs to which entry?
USeIBr